[1]
Sm2CdHg8 | GGA-PBE | optimized geometry

## Properties
D(E_F), states/eV per cell: 7.254
Excess energy over the best structure of this formula in the dataset, kcal/mol of atoms: 0.00
Space-group type: P4/mmm, No. 123
Crystal system: tetragonal

Geometry as extended XYZ:
```
11
Lattice="4.9015 0.0000 0.0000 0.0000 4.9015 0.0000 0.0000 0.0000 11.7705" Properties=species:S:1:pos:R:3 pbc="T T T"
Sm 0.0000 0.0000 2.1848
Sm 0.0000 0.0000 9.5857
Cd 0.0000 0.0000 5.8852
Hg 0.0000 2.4507 0.0000
Hg 0.0000 2.4507 4.2154
Hg 0.0000 2.4507 7.5551
Hg 2.4507 0.0000 0.0000
Hg 2.4507 0.0000 4.2154
Hg 2.4507 0.0000 7.5551
Hg 2.4507 2.4507 2.0638
Hg 2.4507 2.4507 9.7067
```

---

[2]
SmCd5Hg6 | GGA-PBE | optimized geometry

## Properties
D(E_F), states/eV per cell: 4.368
Space-group type: C2/m, No. 12
Crystal system: monoclinic
Electronic total energy, eV/atom: -1.039

Geometry as extended XYZ:
```
12
Lattice="4.5019 -7.9177 0.0000 4.5019 7.9177 0.0000 -2.5400 0.0000 4.0889" Properties=species:S:1:pos:R:3 pbc="T T T"
Sm 0.0000 0.0000 0.0000
Cd 3.2319 5.3264 2.0445
Cd 4.5019 2.9300 0.0000
Cd 3.2319 0.0000 2.0445
Cd 4.5019 -2.9300 0.0000
Cd 3.2319 -5.3264 2.0445
Hg 1.6842 2.5630 1.0613
Hg 0.4784 0.0000 3.1477
Hg 1.6842 -2.5630 1.0613
Hg 4.7797 2.5630 3.0276
Hg 5.9854 0.0000 0.9412
Hg 4.7797 -2.5630 3.0276
```

---

[3]
Sm2CdHg6 | GGA-PBE | optimized geometry

## Properties
D(E_F), states/eV per cell: 2.282
Excess energy over the best structure of this formula in the dataset, kcal/mol of atoms: 0.00
Space-group type: C2/m, No. 12
Crystal system: monoclinic

Geometry as extended XYZ:
```
9
Lattice="4.4818 -2.5928 0.0000 4.4818 2.5928 0.0000 -0.0020 0.0000 9.5171" Properties=species:S:1:pos:R:3 pbc="T T T"
Sm 1.4930 0.0000 2.1807
Sm 7.4686 0.0000 7.3364
Cd 4.4818 0.0000 0.0000
Hg 1.4941 0.0000 8.5578
Hg 1.5006 0.0000 5.4315
Hg 4.4844 0.0000 3.2165
Hg 4.4772 0.0000 6.3006
Hg 7.4611 0.0000 4.0856
Hg 7.4676 0.0000 0.9593
```

---

[4]
SmCd12Hg6 | GGA-PBE | optimized geometry

## Properties
D(E_F), states/eV per cell: 4.735
Space-group type: R-3, No. 148
Crystal system: trigonal
Electronic total energy, eV/atom: -0.973

Geometry as extended XYZ:
```
19
Lattice="6.2798 3.6256 3.4008 -6.2798 3.6256 3.4008 0.0000 -7.2513 3.4008" Properties=species:S:1:pos:R:3 pbc="T T T"
Sm 0.0000 0.0000 0.0000
Cd -4.6034 0.7421 3.4123
Cd -2.5051 -1.4209 4.6411
Cd -2.9444 -3.6156 6.7902
Cd 1.6590 -4.3577 3.4123
Cd -0.0220 -2.8799 5.5613
Cd -2.4831 1.4590 5.5613
Cd 2.4831 -1.4590 4.6411
Cd 0.0220 2.8799 4.6411
Cd -1.6590 4.3577 6.7902
Cd 2.9444 3.6156 3.4122
Cd 2.5051 1.4209 5.5613
Cd 4.6034 -0.7421 6.7902
Hg -0.0191 -1.8647 2.5675
Hg -1.6054 0.9489 2.5675
Hg 1.6244 0.9158 2.5675
Hg -1.6244 -0.9158 7.6350
Hg 1.6054 -0.9489 7.6349
Hg 0.0191 1.8647 7.6349
```

---

[5]
SmCdHg | GGA-PBE | optimized geometry

## Properties
D(E_F), states/eV per cell: 1.936
Space-group type: I4mm, No. 107
Crystal system: tetragonal
Electronic total energy, eV/atom: -2.279

Geometry as extended XYZ:
```
3
Lattice="-1.7687 1.7687 6.1124 1.7687 -1.7687 6.1124 1.7687 1.7687 -6.1124" Properties=species:S:1:pos:R:3 pbc="T T T"
Sm 0.0000 0.0000 0.0000
Cd 0.0000 0.0000 3.9171
Hg 0.0000 0.0000 8.1730
```

---

[6]
SmCd6Hg2 | GGA-PBE | optimized geometry

## Properties
D(E_F), states/eV per cell: 4.330
Space-group type: C2/m, No. 12
Crystal system: monoclinic
Electronic total energy, eV/atom: -1.303

Geometry as extended XYZ:
```
9
Lattice="7.7767 -4.4472 0.0000 7.7767 4.4472 0.0000 -0.6504 0.0000 3.1375" Properties=species:S:1:pos:R:3 pbc="T T T"
Sm 0.0000 0.0000 0.0000
Cd 2.2702 1.5136 2.1219
Cd 7.4515 1.5236 1.5687
Cd 2.2702 -1.5136 2.1219
Cd 12.6327 1.5136 1.0156
Cd 7.4515 -1.5236 1.5687
Cd 12.6327 -1.5136 1.0156
Hg 4.8877 0.0000 2.6393
Hg 10.0152 0.0000 0.4982
```

---

[7]
SmCd2Hg | GGA-PBE | optimized geometry

## Properties
D(E_F), states/eV per cell: 3.695
Excess energy over the best structure of this formula in the dataset, kcal/mol of atoms: 11.55
Space-group type: R-3m, No. 166
Crystal system: trigonal

Geometry as extended XYZ:
```
4
Lattice="1.6727 0.9657 11.3800 -1.6727 0.9657 11.3800 0.0000 -1.9314 11.3800" Properties=species:S:1:pos:R:3 pbc="T T T"
Sm 0.0000 0.0000 0.0000
Cd 0.0000 0.0000 3.1663
Cd 0.0000 0.0000 30.9736
Hg 0.0000 0.0000 17.0700
```

---

[8]
Sm6Cd5Hg | GGA-PBE | optimized geometry

## Properties
D(E_F), states/eV per cell: 14.365
Space-group type: Cmmm, No. 65
Crystal system: orthorhombic
Electronic total energy, eV/atom: -3.108

Geometry as extended XYZ:
```
12
Lattice="2.6837 -8.0551 0.0000 2.6837 8.0551 0.0000 0.0000 0.0000 7.6714" Properties=species:S:1:pos:R:3 pbc="T T T"
Sm 0.0000 0.0000 1.9014
Sm 0.0000 0.0000 5.7700
Sm 2.6837 2.6663 1.9176
Sm 2.6837 2.6663 5.7538
Sm 2.6837 -2.6663 1.9176
Sm 2.6837 -2.6663 5.7538
Cd 2.6837 5.3581 3.8357
Cd 2.6837 5.3156 0.0000
Cd 2.6837 0.0000 3.8357
Cd 2.6837 -5.3156 0.0000
Cd 2.6837 -5.3581 3.8357
Hg 2.6837 0.0000 0.0000
```

---

[9]
Sm3Cd4Hg4 | GGA-PBE | optimized geometry

## Properties
D(E_F), states/eV per cell: 6.522
Space-group type: P-1, No. 2
Crystal system: triclinic
Electronic total energy, eV/atom: -2.062

Geometry as extended XYZ:
```
11
Lattice="3.5563 0.0000 0.0000 -0.0008 4.9690 0.0000 -1.7755 -2.4796 15.4968" Properties=species:S:1:pos:R:3 pbc="T T T"
Sm 0.0000 0.0000 0.0000
Sm 0.0002 2.4839 4.3411
Sm 1.7798 0.0055 11.1557
Cd 0.0014 0.0040 8.2057
Cd 0.0039 2.4896 12.6524
Cd 1.7762 -0.0002 2.8444
Cd 1.7787 2.4854 7.2912
Hg -0.0036 2.4896 9.7992
Hg 0.0056 0.0056 14.0364
Hg 1.7745 2.4838 1.4604
Hg 1.7836 -0.0002 5.6976
```

---

[10]
Sm3Cd3Hg2 | GGA-PBE | optimized geometry

## Properties
D(E_F), states/eV per cell: 5.981
Excess energy over the best structure of this formula in the dataset, kcal/mol of atoms: 0.00
Space-group type: P-62m, No. 189
Crystal system: hexagonal

Geometry as extended XYZ:
```
8
Lattice="7.9437 0.0000 0.0000 -3.9718 6.8794 0.0000 0.0000 0.0000 3.9519" Properties=species:S:1:pos:R:3 pbc="T T T"
Sm -2.3957 4.1495 0.0000
Sm 1.5761 2.7300 0.0000
Sm 4.7914 0.0000 0.0000
Cd -0.9003 1.5593 1.9759
Cd 1.8005 0.0000 1.9759
Cd 3.0716 5.3201 1.9759
Hg 0.0000 4.5863 1.9759
Hg 3.9718 2.2931 1.9759
```

---

[11]
Sm2Cd5Hg12 | GGA-PBE | optimized geometry

## Properties
D(E_F), states/eV per cell: 8.100
Excess energy over the best structure of this formula in the dataset, kcal/mol of atoms: 0.17
Space-group type: C2/m, No. 12
Crystal system: monoclinic

Geometry as extended XYZ:
```
19
Lattice="7.8223 -5.1654 0.0000 7.8223 5.1654 0.0000 -1.1466 0.0000 5.8197" Properties=species:S:1:pos:R:3 pbc="T T T"
Sm 7.8223 2.9198 0.0000
Sm 7.8223 -2.9198 0.0000
Cd -0.5733 0.0000 2.9098
Cd 2.6327 0.0000 2.6355
Cd 5.2445 0.0000 1.0647
Cd 9.2535 0.0000 4.7550
Cd 11.8653 0.0000 3.1842
Hg 3.7436 2.0983 4.7319
Hg 1.1395 0.0000 5.5007
Hg 5.7063 2.5787 2.4557
Hg 8.7917 2.5787 3.3640
Hg 6.1929 0.0000 4.2683
Hg 10.7544 2.0983 1.0877
Hg 3.7436 -2.0983 4.7319
Hg 8.3051 0.0000 1.5513
Hg 5.7063 -2.5787 2.4557
Hg 8.7917 -2.5787 3.3640
Hg 13.3585 0.0000 0.3189
Hg 10.7544 -2.0983 1.0877
```

---

[12]
Sm2CdHg4 | GGA-PBE | optimized geometry

## Properties
D(E_F), states/eV per cell: 3.866
Excess energy over the best structure of this formula in the dataset, kcal/mol of atoms: 0.00
Space-group type: R-3m, No. 166
Crystal system: trigonal

Geometry as extended XYZ:
```
7
Lattice="2.5411 1.4671 8.4512 -2.5411 1.4671 8.4512 0.0000 -2.9342 8.4512" Properties=species:S:1:pos:R:3 pbc="T T T"
Sm 0.0000 0.0000 6.2748
Sm 0.0000 0.0000 19.0790
Cd 0.0000 0.0000 12.6769
Hg 0.0000 0.0000 3.0673
Hg 0.0000 0.0000 9.3929
Hg 0.0000 0.0000 15.9608
Hg 0.0000 0.0000 22.2864
```